(1)
Compound: NaCu2NiOs
Source: Alexandria via LeMat-Bulk
Functional: GGA-PBE
Structure: relaxed

The structure in POSCAR format:
```
NaCu2NiOs
1.0
4.206 0.000 0.000
0.000 4.206 0.000
0.000 0.000 4.782
Na Cu Ni Os
1 2 1 1
direct
0.000 0.000 0.000 Na
0.000 0.500 0.000 Cu
0.500 0.000 0.000 Cu
0.500 0.500 0.500 Ni
0.000 0.000 0.500 Os
```

Output
theoretical density	7.8	g/cm3
crystal system	tetragonal
V	16.92	A^3/atom
VASP energy	-15.90	eV per cell
calculated formation energy	10.62	eV per formula unit
magnetic moment	0.4666	μB per atom

(2)
Compound: NaCuNiS2
Source: Alexandria via LeMat-Bulk
Functional: GGA-PBE
Structure: relaxed

The structure in POSCAR format:
```
NaCuNiS2
1.0
6.430 0.000 0.000
0.000 3.863 0.000
-0.576 0.000 6.822
Na Cu Ni S
2 2 2 4
direct
0.000 0.002 0.250 Na
0.000 0.998 0.750 Na
0.500 0.000 0.000 Cu
0.500 0.000 0.500 Cu
0.500 0.500 0.250 Ni
0.500 0.500 0.750 Ni
0.270 0.499 0.982 S
0.270 0.501 0.482 S
0.730 0.499 0.518 S
0.730 0.501 0.018 S
```

Output
theoretical density	4.1	g/cm3
crystal system	monoclinic
V	16.94	A^3/atom
raw formation energy	-47.0	kJ/mol of atoms
VASP energy	-43.78	eV per cell
magnetic moment	0.0000	μB per atom

(3)
Compound: NaCuNiSb2
Source: Alexandria via LeMat-Bulk
Functional: GGA-PBE
Structure: relaxed

The structure in POSCAR format:
```
NaCuNiSb2
1.0
5.037 0.000 0.000
0.000 5.037 0.000
0.000 0.000 4.629
Na Cu Ni Sb
1 1 1 2
direct
0.000 0.000 0.000 Na
0.500 0.500 0.500 Cu
0.500 0.500 0.000 Ni
0.000 0.500 0.500 Sb
0.500 0.000 0.500 Sb
```

Output
theoretical density	5.5	g/cm3
crystal system	tetragonal
V	23.49	A^3/atom
raw formation energy	35.7	kJ/mol of atoms
VASP energy	-17.59	eV per cell
magnetic moment	0.0000	μB per atom

(4)
Compound: NaCuNi2Sb
Source: Alexandria via LeMat-Bulk
Functional: GGA-PBE
Structure: relaxed

The structure in POSCAR format:
```
NaCuNi2Sb
1.0
4.597 0.000 0.000
0.000 4.597 0.000
0.000 0.000 4.712
Na Cu Ni Sb
1 1 2 1
direct
0.000 0.000 0.000 Na
0.500 0.500 0.500 Cu
0.000 0.500 0.500 Ni
0.500 0.000 0.500 Ni
0.500 0.500 0.000 Sb
```

Output
theoretical density	5.4	g/cm3
crystal system	tetragonal
V	19.92	A^3/atom
raw formation energy	58.0	kJ/mol of atoms
VASP energy	-18.09	eV per cell
magnetic moment	0.2004	μB per atom

(5)
Compound: NaSc2CuNi
Source: Alexandria via LeMat-Bulk
Functional: GGA-PBE
Structure: relaxed

The structure in POSCAR format:
```
NaSc2CuNi
1.0
4.784 0.000 0.000
0.000 4.784 0.000
0.000 0.000 5.061
Na Sc Cu Ni
1 2 1 1
direct
0.000 0.000 0.000 Na
0.000 0.500 0.500 Sc
0.500 0.000 0.500 Sc
0.500 0.500 0.000 Cu
0.000 0.000 0.500 Ni
```

Output
theoretical density	3.4	g/cm3
crystal system	tetragonal
V	23.17	A^3/atom
VASP energy	-22.10	eV per cell
calculated formation energy	1.76	eV per formula unit
magnetic moment	0.0000	μB per atom

(6)
Compound: NaCu3NiSe4
Source: Alexandria via LeMat-Bulk
Functional: GGA-PBE
Structure: relaxed

The structure in POSCAR format:
```
NaCu3NiSe4
1.0
5.830 0.000 0.000
0.000 5.830 0.000
0.000 0.000 5.830
Na Cu Ni Se
1 3 1 4
direct
0.000 0.000 0.000 Na
0.000 0.500 0.500 Cu
0.500 0.000 0.500 Cu
0.500 0.500 0.000 Cu
0.500 0.500 0.500 Ni
0.271 0.271 0.729 Se
0.271 0.729 0.271 Se
0.729 0.271 0.271 Se
0.729 0.729 0.729 Se
```

Output
theoretical density	4.9	g/cm3
crystal system	cubic
V	22.01	A^3/atom
raw formation energy	-24.8	kJ/mol of atoms
VASP energy	-35.64	eV per cell
magnetic moment	0.0000	μB per atom

(7)
Compound: NaCuSi2Ni
Source: Alexandria via LeMat-Bulk
Functional: GGA-PBE
Structure: relaxed

The structure in POSCAR format:
```
NaCuSi2Ni
1.0
4.785 0.000 0.000
0.000 4.785 0.000
0.000 0.000 4.363
Na Cu Si Ni
1 1 2 1
direct
0.000 0.000 0.000 Na
0.000 0.000 0.500 Cu
0.000 0.500 0.000 Si
0.500 0.000 0.000 Si
0.500 0.500 0.500 Ni
```

Output
theoretical density	3.3	g/cm3
crystal system	tetragonal
V	19.98	A^3/atom
raw formation energy	165.8	kJ/mol of atoms
VASP energy	-13.45	eV per cell
magnetic moment	0.0000	μB per atom

(8)
Compound: NaCuNi2Sn
Source: Alexandria via LeMat-Bulk
Functional: GGA-PBE
Structure: relaxed

The structure in POSCAR format:
```
NaCuNi2Sn
1.0
4.790 0.000 0.000
0.000 4.790 0.000
0.000 0.000 4.896
Na Cu Ni Sn
1 1 2 1
direct
0.000 0.000 0.000 Na
0.500 0.500 0.000 Cu
0.000 0.500 0.500 Ni
0.500 0.000 0.500 Ni
0.500 0.500 0.500 Sn
```

Output
theoretical density	4.8	g/cm3
crystal system	tetragonal
V	22.47	A^3/atom
VASP energy	-17.76	eV per cell
calculated formation energy	3.22	eV per formula unit
magnetic moment	0.0003	μB per atom

(9)
Compound: NaSr2CuNi
Source: Alexandria via LeMat-Bulk
Functional: GGA-PBE
Structure: relaxed

The structure in POSCAR format:
```
NaSr2CuNi
1.0
5.757 0.000 0.000
0.000 5.757 0.000
0.000 0.000 4.661
Na Sr Cu Ni
1 2 1 1
direct
0.000 0.000 0.000 Na
0.000 0.500 0.500 Sr
0.500 0.000 0.500 Sr
0.500 0.500 0.000 Cu
0.500 0.500 0.500 Ni
```

Output
theoretical density	3.4	g/cm3
crystal system	tetragonal
V	30.89	A^3/atom
VASP energy	-13.95	eV per cell
calculated formation energy	0.61	eV per formula unit
magnetic moment	0.0000	μB per atom

(10)
Compound: Na2CuNiTe
Source: Alexandria via LeMat-Bulk
Functional: GGA-PBE
Structure: relaxed

The structure in POSCAR format:
```
Na2CuNiTe
1.0
5.402 0.000 0.000
0.000 5.402 0.000
0.000 0.000 4.795
Na Cu Ni Te
2 1 1 1
direct
0.000 0.500 0.000 Na
0.500 0.000 0.000 Na
0.000 0.000 0.000 Cu
0.500 0.500 0.500 Ni
0.000 0.000 0.500 Te
```

Output
theoretical density	3.5	g/cm3
crystal system	tetragonal
V	27.98	A^3/atom
raw formation energy	51.1	kJ/mol of atoms
VASP energy	-13.01	eV per cell
magnetic moment	0.1855	μB per atom

(11)
Compound: NaTiCuNi2
Source: Alexandria via LeMat-Bulk
Functional: GGA-PBE
Structure: relaxed

The structure in POSCAR format:
```
NaTiCuNi2
1.0
4.333 0.000 0.000
0.000 4.333 0.000
0.000 0.000 4.283
Na Ti Cu Ni
1 1 1 2
direct
0.000 0.000 0.000 Na
0.500 0.500 0.500 Ti
0.000 0.000 0.500 Cu
0.000 0.500 0.000 Ni
0.500 0.000 0.000 Ni
```

Output
theoretical density	5.2	g/cm3
crystal system	tetragonal
V	16.08	A^3/atom
VASP energy	-18.30	eV per cell
calculated formation energy	6.57	eV per formula unit
magnetic moment	0.0022	μB per atom

(12)
Compound: NaZr2CuNi
Source: Alexandria via LeMat-Bulk
Functional: GGA-PBE
Structure: relaxed

The structure in POSCAR format:
```
NaZr2CuNi
1.0
4.906 0.000 0.000
0.000 4.906 0.000
0.000 0.000 4.725
Na Zr Cu Ni
1 2 1 1
direct
0.000 0.000 0.000 Na
0.000 0.500 0.500 Zr
0.500 0.000 0.500 Zr
0.000 0.000 0.500 Cu
0.500 0.500 0.000 Ni
```

Output
theoretical density	4.8	g/cm3
crystal system	tetragonal
V	22.75	A^3/atom
VASP energy	-23.62	eV per cell
calculated formation energy	4.68	eV per formula unit
magnetic moment	0.2386	μB per atom

(13)
Compound: NaNpCuO6
Source: Alexandria via LeMat-Bulk
Functional: GGA-PBE
Structure: relaxed

The structure in POSCAR format:
```
NaNpCuO6
1.0
5.232 0.000 0.000
-2.616 4.531 0.000
0.000 0.000 10.450
Na Np Cu O
2 2 2 12
direct
0.000 0.000 0.000 Na
0.000 0.000 0.500 Na
0.333 0.667 0.250 Np
0.667 0.333 0.750 Np
0.333 0.667 0.750 Cu
0.667 0.333 0.250 Cu
0.005 0.368 0.646 O
0.005 0.637 0.854 O
0.363 0.368 0.854 O
0.363 0.995 0.646 O
0.368 0.005 0.146 O
0.368 0.363 0.354 O
0.632 0.637 0.646 O
0.632 0.995 0.854 O
0.637 0.005 0.354 O
0.637 0.632 0.146 O
0.995 0.363 0.146 O
0.995 0.632 0.354 O
```

Output
theoretical density	5.6	g/cm3
crystal system	trigonal
V	13.76	A^3/atom
raw formation energy	-148.8	kJ/mol of atoms
VASP energy	-123.97	eV per cell
magnetic moment	0.1133	μB per atom

(14)
Compound: Na2NpCuO4
Source: Alexandria via LeMat-Bulk
Functional: GGA-PBE
Structure: relaxed

The structure in POSCAR format:
```
Na2NpCuO4
1.0
5.637 0.000 0.000
0.000 3.615 0.000
-0.146 0.000 5.782
Na Np Cu O
2 1 1 4
direct
0.000 0.000 0.000 Na
0.500 0.500 0.000 Na
0.000 0.500 0.500 Np
0.500 0.000 0.500 Cu
0.172 0.500 0.212 O
0.217 0.000 0.652 O
0.783 0.000 0.348 O
0.828 0.500 0.788 O
```

Output
theoretical density	5.8	g/cm3
crystal system	monoclinic
V	14.73	A^3/atom
raw formation energy	-191.9	kJ/mol of atoms
VASP energy	-55.42	eV per cell
magnetic moment	0.2500	μB per atom

(15)
Compound: Na3NpCu2O6
Source: Alexandria via LeMat-Bulk
Functional: GGA-PBE
Structure: relaxed

The structure in POSCAR format:
```
Na3NpCu2O6
1.0
2.671 -5.056 0.000
2.671 5.056 0.000
-1.207 0.000 5.502
Na Np Cu O
3 1 2 6
direct
0.000 0.000 0.000 Na
0.315 0.685 0.000 Na
0.685 0.315 0.000 Na
0.500 0.500 0.500 Np
0.176 0.824 0.500 Cu
0.824 0.176 0.500 Cu
0.094 0.398 0.296 O
0.314 0.314 0.761 O
0.398 0.094 0.296 O
0.602 0.906 0.704 O
0.686 0.686 0.239 O
0.906 0.602 0.704 O
```

Output
theoretical density	5.9	g/cm3
crystal system	monoclinic
V	12.38	A^3/atom
raw formation energy	-164.4	kJ/mol of atoms
VASP energy	-75.28	eV per cell
magnetic moment	0.0019	μB per atom

(16)
Compound: Na2NpCuO5
Source: Alexandria via LeMat-Bulk
Functional: GGA-PBE
Structure: relaxed

The structure in POSCAR format:
```
Na2NpCuO5
1.0
5.911 0.000 0.000
0.000 5.911 0.000
0.000 0.000 5.748
Na Np Cu O
4 2 2 10
direct
0.153 0.347 0.000 Na
0.347 0.847 0.000 Na
0.653 0.153 0.000 Na
0.847 0.653 0.000 Na
0.000 0.000 0.500 Np
0.500 0.500 0.500 Np
0.000 0.500 0.500 Cu
0.500 0.000 0.500 Cu
0.000 0.000 0.000 O
0.171 0.671 0.300 O
0.171 0.671 0.700 O
0.329 0.171 0.300 O
0.329 0.171 0.700 O
0.500 0.500 0.000 O
0.671 0.829 0.300 O
0.671 0.829 0.700 O
0.829 0.329 0.300 O
0.829 0.329 0.700 O
```

Output
theoretical density	7.1	g/cm3
crystal system	tetragonal
V	11.16	A^3/atom
raw formation energy	-133.9	kJ/mol of atoms
VASP energy	-113.91	eV per cell
magnetic moment	0.2223	μB per atom

(17)
Compound: NaNpCu2O6
Source: Alexandria via LeMat-Bulk
Functional: GGA-PBE
Structure: relaxed

The structure in POSCAR format:
```
NaNpCu2O6
1.0
5.761 -4.795 0.000
5.761 4.795 0.000
-2.927 0.000 5.434
Na Np Cu O
2 2 4 12
direct
0.097 0.903 0.750 Na
0.903 0.097 0.250 Na
0.260 0.740 0.250 Np
0.740 0.260 0.750 Np
0.255 0.325 0.865 Cu
0.325 0.255 0.365 Cu
0.675 0.745 0.635 Cu
0.745 0.675 0.135 Cu
0.015 0.219 0.727 O
0.184 0.651 0.907 O
0.219 0.015 0.227 O
0.283 0.430 0.204 O
0.349 0.816 0.593 O
0.430 0.283 0.704 O
0.570 0.717 0.296 O
0.651 0.184 0.407 O
0.717 0.570 0.796 O
0.781 0.985 0.773 O
0.816 0.349 0.093 O
0.985 0.781 0.273 O
```

Output
theoretical density	5.3	g/cm3
crystal system	monoclinic
V	15.01	A^3/atom
raw formation energy	-148.7	kJ/mol of atoms
VASP energy	-135.22	eV per cell
magnetic moment	0.0000	μB per atom

(18)
Compound: Na2NpCuO6
Source: Alexandria via LeMat-Bulk
Functional: GGA-PBE
Structure: relaxed

The structure in POSCAR format:
```
Na2NpCuO6
1.0
5.443 -2.746 0.000
5.443 2.746 0.000
-2.308 0.000 4.546
Na Np Cu O
2 1 1 6
direct
0.246 0.246 0.305 Na
0.754 0.754 0.695 Na
0.500 0.500 0.000 Np
0.000 0.000 0.500 Cu
0.169 0.702 0.668 O
0.298 0.831 0.332 O
0.317 0.317 0.942 O
0.683 0.683 0.058 O
0.702 0.169 0.668 O
0.831 0.298 0.332 O
```

Output
theoretical density	5.4	g/cm3
crystal system	monoclinic
V	13.59	A^3/atom
raw formation energy	-175.9	kJ/mol of atoms
VASP energy	-67.66	eV per cell
magnetic moment	0.0000	μB per atom

(19)
Compound: NaNp2CuS4
Source: Alexandria via LeMat-Bulk
Functional: GGA-PBE
Structure: relaxed

The structure in POSCAR format:
```
NaNp2CuS4
1.0
1.963 -6.549 0.000
1.963 6.549 0.000
0.000 0.000 13.639
Na Np Cu S
2 4 2 8
direct
0.111 0.889 0.750 Na
0.889 0.111 0.250 Na
0.367 0.633 0.562 Np
0.367 0.633 0.938 Np
0.633 0.367 0.062 Np
0.633 0.367 0.438 Np
0.160 0.840 0.250 Cu
0.840 0.160 0.750 Cu
0.000 0.000 0.000 S
0.000 0.000 0.500 S
0.268 0.732 0.115 S
0.268 0.732 0.385 S
0.440 0.560 0.750 S
0.560 0.440 0.250 S
0.732 0.268 0.615 S
0.732 0.268 0.885 S
```

Output
theoretical density	6.5	g/cm3
crystal system	orthorhombic
V	21.92	A^3/atom
raw formation energy	-113.4	kJ/mol of atoms
VASP energy	-114.41	eV per cell
magnetic moment	1.0004	μB per atom

(20)
Compound: Na2NpCuS4
Source: Alexandria via LeMat-Bulk
Functional: GGA-PBE
Structure: relaxed

The structure in POSCAR format:
```
Na2NpCuS4
1.0
6.173 0.000 0.000
0.000 3.985 0.000
-2.049 0.000 6.734
Na Np Cu S
2 1 1 4
direct
0.000 0.000 0.000 Na
0.500 0.500 0.000 Na
0.000 0.500 0.500 Np
0.500 0.000 0.500 Cu
0.246 0.500 0.269 S
0.258 0.000 0.709 S
0.742 0.000 0.291 S
0.754 0.500 0.731 S
```

Output
theoretical density	4.8	g/cm3
crystal system	monoclinic
V	20.70	A^3/atom
raw formation energy	-92.7	kJ/mol of atoms
VASP energy	-43.87	eV per cell
magnetic moment	0.2479	μB per atom

(21)
Compound: NaNpCu2S4
Source: Alexandria via LeMat-Bulk
Functional: GGA-PBE
Structure: relaxed

The structure in POSCAR format:
```
NaNpCu2S4
1.0
-3.252 3.252 3.575
3.252 -3.252 3.575
3.252 3.252 -3.575
Na Np Cu S
1 1 2 4
direct
0.000 0.000 0.000 Na
0.500 0.500 0.000 Np
0.250 0.750 0.500 Cu
0.750 0.250 0.500 Cu
0.015 0.015 0.535 S
0.479 0.479 0.465 S
0.521 0.985 0.000 S
0.985 0.521 0.000 S
```

Output
theoretical density	5.7	g/cm3
crystal system	tetragonal
V	18.90	A^3/atom
raw formation energy	-62.6	kJ/mol of atoms
VASP energy	-44.15	eV per cell
magnetic moment	0.3932	μB per atom

(22)
Compound: Na3NpCu2S6
Source: Alexandria via LeMat-Bulk
Functional: GGA-PBE
Structure: relaxed

The structure in POSCAR format:
```
Na3NpCu2S6
1.0
3.058 -6.177 0.000
3.058 6.177 0.000
-2.078 0.000 6.539
Na Np Cu S
3 1 2 6
direct
0.000 0.000 0.000 Na
0.319 0.681 0.000 Na
0.681 0.319 0.000 Na
0.500 0.500 0.500 Np
0.112 0.888 0.500 Cu
0.888 0.112 0.500 Cu
0.082 0.383 0.299 S
0.270 0.270 0.750 S
0.383 0.082 0.299 S
0.617 0.918 0.701 S
0.730 0.730 0.250 S
0.918 0.617 0.701 S
```

Output
theoretical density	4.2	g/cm3
crystal system	monoclinic
V	20.58	A^3/atom
raw formation energy	-76.9	kJ/mol of atoms
VASP energy	-59.42	eV per cell
magnetic moment	0.0554	μB per atom

(23)
Compound: Na2Np2CuS6
Source: Alexandria via LeMat-Bulk
Functional: GGA-PBE
Structure: relaxed

The structure in POSCAR format:
```
Na2Np2CuS6
1.0
3.239 -6.118 0.000
3.239 6.118 0.000
-2.002 0.000 6.723
Na Np Cu S
2 2 1 6
direct
0.155 0.845 0.000 Na
0.845 0.155 0.000 Na
0.338 0.662 0.500 Np
0.662 0.338 0.500 Np
0.000 0.000 0.500 Cu
0.058 0.429 0.723 S
0.237 0.237 0.308 S
0.429 0.058 0.723 S
0.571 0.942 0.277 S
0.763 0.763 0.692 S
0.942 0.571 0.277 S
```

Output
theoretical density	4.8	g/cm3
crystal system	monoclinic
V	24.22	A^3/atom
raw formation energy	-101.9	kJ/mol of atoms
VASP energy	-69.00	eV per cell
magnetic moment	0.4541	μB per atom